Version 1
Compound: ZrAsC
Source: Alexandria via LeMat-Bulk
Functional: GGA-PBE
Structure: optimized geometry

- Total magnetic moment: 0.000 μB per formula unit

Structure (CIF):
```
data_ZrAsC
_chemical_formula_sum 'Zr4 As4 C4'
_cell_length_a 5.329
_cell_length_b 4.773
_cell_length_c 8.198
_cell_angle_alpha 90.00
_cell_angle_beta 103.68
_cell_angle_gamma 90.00
_space_group_name_H-M_alt 'C 1 2/m 1'
_space_group_IT_number 12
loop_
_space_group_symop_operation_xyz
'x,y,z'
'-x,-y,-z'
'-x,y,-z'
'x,-y,z'
'x+1/2,y+1/2,z'
'-x+1/2,-y+1/2,-z'
'-x+1/2,y+1/2,-z'
'x+1/2,-y+1/2,z'
loop_
_atom_site_label
_atom_site_type_symbol
_atom_site_fract_x
_atom_site_fract_y
_atom_site_fract_z
Zr1 Zr 0.115 0.000 0.323
As1 As 0.031 0.500 0.151
C1 C 0.000 0.354 0.500
```

***

Version 2
Compound: ZrAsC
Source: Alexandria via LeMat-Bulk
Functional: GGA-PBE
Structure: optimized geometry

- Total magnetic moment: 0.000 μB per formula unit

Structure (CIF):
```
data_ZrAsC
_chemical_formula_sum 'Zr4 As4 C4'
_cell_length_a 7.374
_cell_length_b 3.480
_cell_length_c 7.768
_cell_angle_alpha 90.00
_cell_angle_beta 96.93
_cell_angle_gamma 90.00
_space_group_name_H-M_alt 'C 1 2/m 1'
_space_group_IT_number 12
loop_
_space_group_symop_operation_xyz
'x,y,z'
'-x,-y,-z'
'-x,y,-z'
'x,-y,z'
'x+1/2,y+1/2,z'
'-x+1/2,-y+1/2,-z'
'-x+1/2,y+1/2,-z'
'x+1/2,-y+1/2,z'
loop_
_atom_site_label
_atom_site_type_symbol
_atom_site_fract_x
_atom_site_fract_y
_atom_site_fract_z
Zr1 Zr 0.120 0.000 0.347
As1 As 0.200 0.000 0.891
C1 C 0.086 0.500 0.549
```

***

Result of the stability comparison: version 1 is the least stable of them.

***

Version 1
Compound: ZrAsC
Source: Alexandria via LeMat-Bulk
Functional: GGA-PBE
Structure: optimized geometry

- Total magnetic moment: 0.000 μB per formula unit

Structure (CIF):
```
data_ZrAsC
_chemical_formula_sum 'Zr2 As2 C2'
_cell_length_a 3.383
_cell_length_b 3.857
_cell_length_c 8.597
_cell_angle_alpha 94.77
_cell_angle_beta 94.27
_cell_angle_gamma 112.63
_space_group_name_H-M_alt 'P -1'
_space_group_IT_number 2
loop_
_space_group_symop_operation_xyz
'x,y,z'
'-x,-y,-z'
loop_
_atom_site_label
_atom_site_type_symbol
_atom_site_fract_x
_atom_site_fract_y
_atom_site_fract_z
Zr1 Zr 0.091 0.239 0.358
As1 As 0.467 0.722 0.905
C1 C 0.406 0.830 0.448
```

***

Version 2
Compound: ZrAsC
Source: Alexandria via LeMat-Bulk
Functional: GGA-PBE
Structure: optimized geometry

- Total magnetic moment: 0.000 μB per formula unit

Structure (CIF):
```
data_ZrAsC
_chemical_formula_sum 'Zr4 As4 C4'
_cell_length_a 6.970
_cell_length_b 3.467
_cell_length_c 9.081
_cell_angle_alpha 90.00
_cell_angle_beta 109.69
_cell_angle_gamma 90.00
_space_group_name_H-M_alt 'C 1 2/m 1'
_space_group_IT_number 12
loop_
_space_group_symop_operation_xyz
'x,y,z'
'-x,-y,-z'
'-x,y,-z'
'x,-y,z'
'x+1/2,y+1/2,z'
'-x+1/2,-y+1/2,-z'
'-x+1/2,y+1/2,-z'
'x+1/2,-y+1/2,z'
loop_
_atom_site_label
_atom_site_type_symbol
_atom_site_fract_x
_atom_site_fract_y
_atom_site_fract_z
Zr1 Zr 0.202 0.000 0.153
As1 As 0.033 0.000 0.636
C1 C 0.060 0.500 0.955
```

***

Version 3
Compound: ZrAsC
Source: Alexandria via LeMat-Bulk
Functional: GGA-PBE
Structure: optimized geometry

- Total magnetic moment: 0.000 μB per formula unit

Structure (CIF):
```
data_ZrAsC
_chemical_formula_sum 'Zr4 As4 C4'
_cell_length_a 4.310
_cell_length_b 3.349
_cell_length_c 13.567
_cell_angle_alpha 90.00
_cell_angle_beta 90.00
_cell_angle_gamma 90.00
_space_group_name_H-M_alt 'A m m 2'
_space_group_IT_number 38
loop_
_space_group_symop_operation_xyz
'x,y,z'
'-x,-y,z'
'-x,y,z'
'x,-y,z'
'x,y+1/2,z+1/2'
'-x,-y+1/2,z+1/2'
'-x,y+1/2,z+1/2'
'x,-y+1/2,z+1/2'
loop_
_atom_site_label
_atom_site_type_symbol
_atom_site_fract_x
_atom_site_fract_y
_atom_site_fract_z
Zr1 Zr 0.000 0.000 0.000
Zr2 Zr 0.500 0.000 0.175
As1 As 0.000 0.000 0.325
As2 As 0.500 0.000 0.844
C1 C 0.333 0.000 0.568
```

***

Result of the stability comparison: version 3 is the least stable of them.

***

Version 1
Compound: ZrAsC3
Source: Alexandria via LeMat-Bulk
Functional: GGA-PBE
Structure: optimized geometry

- Total magnetic moment: 0.000 μB per formula unit

Structure (CIF):
```
data_ZrAsC3
_chemical_formula_sum 'Zr1 As1 C3'
_cell_length_a 4.337
_cell_length_b 4.337
_cell_length_c 4.337
_cell_angle_alpha 90.00
_cell_angle_beta 90.00
_cell_angle_gamma 90.00
_space_group_name_H-M_alt 'P m -3 m'
_space_group_IT_number 221
_space_group_name_Hall '-P 4 2 3'
loop_
_atom_site_label
_atom_site_type_symbol
_atom_site_fract_x
_atom_site_fract_y
_atom_site_fract_z
Zr1 Zr 0.000 0.000 0.000
As1 As 0.500 0.500 0.500
C1 C 0.000 0.000 0.500
```

***

Version 2
Compound: ZrAsC3
Source: Alexandria via LeMat-Bulk
Functional: GGA-PBE
Structure: optimized geometry

- Total magnetic moment: 0.000 μB per formula unit

Structure (CIF):
```
data_ZrAsC3
_chemical_formula_sum 'Zr1 As1 C3'
_cell_length_a 3.897
_cell_length_b 3.897
_cell_length_c 3.897
_cell_angle_alpha 90.00
_cell_angle_beta 90.00
_cell_angle_gamma 90.00
_space_group_name_H-M_alt 'P m -3 m'
_space_group_IT_number 221
_space_group_name_Hall '-P 4 2 3'
loop_
_atom_site_label
_atom_site_type_symbol
_atom_site_fract_x
_atom_site_fract_y
_atom_site_fract_z
Zr1 Zr 0.000 0.000 0.000
As1 As 0.500 0.500 0.500
C1 C 0.000 0.500 0.500
```

***

Result of the stability comparison: version 1 is the least stable of them.

***

Version 1
Compound: CaAs4
Source: Alexandria via LeMat-Bulk
Functional: GGA-PBE
Structure: optimized geometry

- Total magnetic moment: 0.000 μB per formula unit

Structure (CIF):
```
data_CaAs4
_chemical_formula_sum 'Ca2 As8'
_cell_length_a 6.337
_cell_length_b 6.337
_cell_length_c 6.337
_cell_angle_alpha 90.00
_cell_angle_beta 90.00
_cell_angle_gamma 90.00
_space_group_name_H-M_alt 'I m -3 m'
_space_group_IT_number 229
_space_group_name_Hall '-I 4 2 3'
loop_
_atom_site_label
_atom_site_type_symbol
_atom_site_fract_x
_atom_site_fract_y
_atom_site_fract_z
Ca1 Ca 0.000 0.000 0.000
As1 As 0.250 0.250 0.250
```

***

Version 2
Compound: CaAs4
Source: Alexandria via LeMat-Bulk
Functional: GGA-PBE
Structure: optimized geometry

- Total magnetic moment: 0.000 μB per formula unit

Structure (CIF):
```
data_CaAs4
_chemical_formula_sum 'Ca1 As4'
_cell_length_a 5.296
_cell_length_b 5.296
_cell_length_c 5.296
_cell_angle_alpha 90.00
_cell_angle_beta 90.00
_cell_angle_gamma 90.00
_space_group_name_H-M_alt 'P m -3 m'
_space_group_IT_number 221
_space_group_name_Hall '-P 4 2 3'
loop_
_atom_site_label
_atom_site_type_symbol
_atom_site_fract_x
_atom_site_fract_y
_atom_site_fract_z
Ca1 Ca 0.000 0.000 0.000
As1 As 0.000 0.000 0.500
As2 As 0.500 0.500 0.500
```

***

Result of the stability comparison: version 2 is the least stable of them.

***

Version 1
Compound: Ca3As
Source: Alexandria via LeMat-Bulk
Functional: GGA-PBE
Structure: optimized geometry

- Total magnetic moment: 0.315 μB per formula unit

Structure (CIF):
```
data_Ca3As
_chemical_formula_sum 'Ca3 As1'
_cell_length_a 4.1927
_cell_length_b 4.1927
_cell_length_c 9.9925
_cell_angle_alpha 90.00
_cell_angle_beta 90.00
_cell_angle_gamma 120.00
_space_group_name_H-M_alt 'P -6 m 2'
_space_group_IT_number 187
_space_group_name_Hall 'P -6 2'
loop_
_atom_site_label
_atom_site_type_symbol
_atom_site_fract_x
_atom_site_fract_y
_atom_site_fract_z
Ca1 Ca 0.0000 0.0000 0.0000
Ca2 Ca 0.6667 0.3333 0.3365
As1 As 0.0000 0.0000 0.5000
```

***

Version 2
Compound: Ca3As
Source: Alexandria via LeMat-Bulk
Functional: GGA-PBE
Structure: optimized geometry

- Total magnetic moment: 0.000 μB per formula unit

Structure (CIF):
```
data_Ca3As
_chemical_formula_sum 'Ca12 As4'
_cell_length_a 7.848
_cell_length_b 7.848
_cell_length_c 7.848
_cell_angle_alpha 90.00
_cell_angle_beta 90.00
_cell_angle_gamma 90.00
_space_group_name_H-M_alt 'F m -3 m'
_space_group_IT_number 225
_space_group_name_Hall '-F 4 2 3'
loop_
_atom_site_label
_atom_site_type_symbol
_atom_site_fract_x
_atom_site_fract_y
_atom_site_fract_z
Ca1 Ca 0.000 0.000 0.000
Ca2 Ca 0.250 0.250 0.250
As1 As 0.000 0.000 0.500
```

***

Result of the stability comparison: version 2 is the least stable of them.

***

Version 1
Compound: Ca3As
Source: Alexandria via LeMat-Bulk
Functional: GGA-PBE
Structure: optimized geometry

- Total magnetic moment: 0.648 μB per formula unit

Structure (CIF):
```
data_Ca3As
_chemical_formula_sum 'Ca6 As2'
_cell_length_a 4.059
_cell_length_b 6.866
_cell_length_c 9.653
_cell_angle_alpha 90.00
_cell_angle_beta 90.00
_cell_angle_gamma 90.00
_space_group_name_H-M_alt 'P m m n'
_space_group_IT_number 59
loop_
_space_group_symop_operation_xyz
'x,y,z'
'-x,-y,-z'
'-x+1/2,-y+1/2,z'
'x+1/2,y+1/2,-z'
'x+1/2,-y,-z'
'-x+1/2,y,z'
'-x,y+1/2,-z'
'x,-y+1/2,z'
loop_
_atom_site_label
_atom_site_type_symbol
_atom_site_fract_x
_atom_site_fract_y
_atom_site_fract_z
Ca1 Ca 0.250 0.009 0.172
Ca2 Ca 0.250 0.250 0.545
As1 As 0.250 0.750 0.673
```

***

Version 2
Compound: Ca3As
Source: Alexandria via LeMat-Bulk
Functional: GGA-PBE
Structure: optimized geometry

- Total magnetic moment: 2.304 μB per formula unit

Structure (CIF):
```
data_Ca3As
_chemical_formula_sum 'Ca6 As2'
_cell_length_a 6.192
_cell_length_b 6.192
_cell_length_c 6.192
_cell_angle_alpha 90.00
_cell_angle_beta 90.00
_cell_angle_gamma 90.00
_space_group_name_H-M_alt 'P m -3 n'
_space_group_IT_number 223
_space_group_name_Hall '-P 4n 2 3'
loop_
_atom_site_label
_atom_site_type_symbol
_atom_site_fract_x
_atom_site_fract_y
_atom_site_fract_z
Ca1 Ca 0.000 0.250 0.500
As1 As 0.000 0.000 0.000
```

***

Version 3
Compound: Ca3As
Source: Alexandria via LeMat-Bulk
Functional: GGA-PBE
Structure: optimized geometry

- Total magnetic moment: 0.000 μB per formula unit

Structure (CIF):
```
data_Ca3As
_chemical_formula_sum 'Ca12 As4'
_cell_length_a 4.695
_cell_length_b 4.695
_cell_length_c 22.054
_cell_angle_alpha 90.00
_cell_angle_beta 90.00
_cell_angle_gamma 90.00
_space_group_name_H-M_alt 'I 4/m m m'
_space_group_IT_number 139
_space_group_name_Hall '-I 4 2'
loop_
_atom_site_label
_atom_site_type_symbol
_atom_site_fract_x
_atom_site_fract_y
_atom_site_fract_z
Ca1 Ca 0.000 0.000 0.120
Ca2 Ca 0.000 0.500 0.000
Ca3 Ca 0.000 0.500 0.250
As1 As 0.000 0.000 0.400
```

***

Result of the stability comparison: version 2 is the least stable of them.

***

Version 1
Compound: Ca3As
Source: Alexandria via LeMat-Bulk
Functional: GGA-PBE
Structure: optimized geometry

- Total magnetic moment: 0.000 μB per formula unit

Structure (CIF):
```
data_Ca3As
_chemical_formula_sum 'Ca3 As1'
_cell_length_a 4.857
_cell_length_b 4.857
_cell_length_c 4.857
_cell_angle_alpha 90.00
_cell_angle_beta 90.00
_cell_angle_gamma 90.00
_space_group_name_H-M_alt 'P m -3 m'
_space_group_IT_number 221
_space_group_name_Hall '-P 4 2 3'
loop_
_atom_site_label
_atom_site_type_symbol
_atom_site_fract_x
_atom_site_fract_y
_atom_site_fract_z
Ca1 Ca 0.000 0.000 0.500
As1 As 0.500 0.500 0.500
```

***

Version 2
Compound: Ca3As
Source: Alexandria via LeMat-Bulk
Functional: GGA-PBE
Structure: optimized geometry

- Total magnetic moment: 0.000 μB per formula unit

Structure (CIF):
```
data_Ca3As
_chemical_formula_sum 'Ca6 As2'
_cell_length_a 5.330
_cell_length_b 5.339
_cell_length_c 9.283
_cell_angle_alpha 90.00
_cell_angle_beta 90.00
_cell_angle_gamma 90.00
_space_group_name_H-M_alt 'C m m m'
_space_group_IT_number 65
_space_group_name_Hall '-C 2 2'
loop_
_atom_site_label
_atom_site_type_symbol
_atom_site_fract_x
_atom_site_fract_y
_atom_site_fract_z
Ca1 Ca 0.000 0.000 0.000
Ca2 Ca 0.000 0.500 0.331
As1 As 0.000 0.000 0.500
```

***

Version 3
Compound: Ca3As
Source: Alexandria via LeMat-Bulk
Functional: GGA-PBE
Structure: optimized geometry

- Total magnetic moment: 0.001 μB per formula unit

Structure (CIF):
```
data_Ca3As
_chemical_formula_sum 'Ca9 As3'
_cell_length_a 10.8140
_cell_length_b 10.8140
_cell_length_c 3.6777
_cell_angle_alpha 90.00
_cell_angle_beta 90.00
_cell_angle_gamma 120.00
_space_group_name_H-M_alt 'R -3 m'
_space_group_IT_number 166
_space_group_name_Hall '-R 3 2"'
loop_
_atom_site_label
_atom_site_type_symbol
_atom_site_fract_x
_atom_site_fract_y
_atom_site_fract_z
Ca1 Ca 0.0000 0.5000 0.0000
As1 As 0.0000 0.0000 0.0000
```

***

Version 4
Compound: Ca3As
Source: Alexandria via LeMat-Bulk
Functional: GGA-PBE
Structure: optimized geometry

- Total magnetic moment: 0.002 μB per formula unit

Structure (CIF):
```
data_Ca3As
_chemical_formula_sum 'Ca12 As4'
_cell_length_a 9.711
_cell_length_b 13.135
_cell_length_c 4.175
_cell_angle_alpha 90.00
_cell_angle_beta 90.00
_cell_angle_gamma 90.00
_space_group_name_H-M_alt 'C m c m'
_space_group_IT_number 63
_space_group_name_Hall '-C 2c 2'
loop_
_atom_site_label
_atom_site_type_symbol
_atom_site_fract_x
_atom_site_fract_y
_atom_site_fract_z
Ca1 Ca 0.000 0.116 0.250
Ca2 Ca 0.184 0.372 0.250
As1 As 0.000 0.276 0.750
```

***

Result of the stability comparison: version 3 is the least stable of them.

***

Version 1
Compound: Ca2As3
Source: Alexandria via LeMat-Bulk
Functional: GGA-PBE
Structure: optimized geometry

- Total magnetic moment: 0.000 μB per formula unit

Structure (CIF):
```
data_Ca2As3
_chemical_formula_sum 'Ca2 As3'
_cell_length_a 4.3425
_cell_length_b 4.3425
_cell_length_c 8.3487
_cell_angle_alpha 90.00
_cell_angle_beta 90.00
_cell_angle_gamma 120.00
_space_group_name_H-M_alt 'P -3 m 1'
_space_group_IT_number 164
_space_group_name_Hall '-P 3 2"'
loop_
_atom_site_label
_atom_site_type_symbol
_atom_site_fract_x
_atom_site_fract_y
_atom_site_fract_z
Ca1 Ca 0.3333 0.6667 0.3222
As1 As 0.0000 0.0000 0.5000
As2 As 0.3333 0.6667 0.9493
```

***

Version 2
Compound: Ca2As3
Source: Alexandria via LeMat-Bulk
Functional: GGA-PBE
Structure: optimized geometry

- Total magnetic moment: 0.000 μB per formula unit

Structure (CIF):
```
data_Ca2As3
_chemical_formula_sum 'Ca16 As24'
_cell_length_a 12.020
_cell_length_b 5.861
_cell_length_c 18.165
_cell_angle_alpha 90.00
_cell_angle_beta 130.63
_cell_angle_gamma 90.00
_space_group_name_H-M_alt 'P 1 2/c 1'
_space_group_IT_number 13
loop_
_space_group_symop_operation_xyz
'x,y,z'
'-x,-y,-z'
'-x,y,-z+1/2'
'x,-y,z+1/2'
loop_
_atom_site_label
_atom_site_type_symbol
_atom_site_fract_x
_atom_site_fract_y
_atom_site_fract_z
Ca1 Ca 0.000 0.039 0.250
Ca2 Ca 0.133 0.259 0.509
Ca3 Ca 0.241 0.452 0.249
Ca4 Ca 0.376 0.246 0.001
Ca5 Ca 0.500 0.088 0.250
As1 As 0.075 0.454 0.842
As2 As 0.157 0.050 0.671
As3 As 0.189 0.226 0.078
As4 As 0.287 0.268 0.423
As5 As 0.394 0.098 0.845
As6 As 0.451 0.399 0.664
```

***

Result of the stability comparison: version 1 is the least stable of them.